An optimized crystal structure of LaPrTc, computed with PBE.

**Size of the total moment**: 0.00 μB per atom
**Space group**: No. 12
**Electronic total energy**: -39.6 eV for the cell shown

a = 8.1318 Å, b = 8.1318 Å, c = 6.1940 Å
α = 103.27°, β = 103.27°, γ = 27.16°
Closest atoms and distances in Å follow each position.
Positions (direct):
La  0.1505  0.1505  0.3352  3 Tc 3.06-3.37
La  0.8495  0.8495  0.6648  3 Tc 3.06-3.37
Pr  0.4284  0.4284  0.2139  3 Tc 3.14-3.26
Pr  0.5716  0.5716  0.7861  3 Tc 3.14-3.26
Tc  0.2440  0.2440  0.8843  2 Tc 2.37
Tc  0.7560  0.7560  0.1157  2 Tc 2.37



An optimized crystal structure of La4PrTc, computed with PBE.

**Size of the total moment**: 0.00 μB per atom
**Space group**: No. 15
**Electronic total energy**: -69.6 eV for the cell shown

a = 8.2325 Å, b = 8.2325 Å, c = 6.3004 Å
α = 99.60°, β = 99.60°, γ = 104.54°
Closest atoms and distances in Å follow each position.
Positions (direct):
La  0.0591  0.7364  0.9533  2 Tc 2.76-2.86
La  0.1754  0.3615  0.6213  2 Tc 3.27-3.28, 1 Pr 3.47, 1 La 3.64
La  0.2636  0.9409  0.5467  2 Tc 2.76-2.86
La  0.3615  0.1754  0.1213  2 Tc 3.27-3.28, 1 Pr 3.47, 1 La 3.64
La  0.6385  0.8246  0.8787  2 Tc 3.27-3.28, 1 Pr 3.47, 1 La 3.64
La  0.7364  0.0591  0.4533  2 Tc 2.76-2.86
La  0.8246  0.6385  0.3787  2 Tc 3.27-3.28, 1 Pr 3.47, 1 La 3.64
La  0.9409  0.2636  0.0467  2 Tc 2.76-2.86
Pr  0.3904  0.6096  0.2500  6 La 3.47-3.73
Pr  0.6096  0.3904  0.7500  6 La 3.47-3.73
Tc  0.0042  0.9958  0.7500  4 La 2.76-2.86
Tc  0.9958  0.0042  0.2500  4 La 2.76-2.86



An optimized crystal structure of La2PrTc, computed with PBE.

**Size of the total moment**: 0.00 μB per atom
**Space group**: No. 11
**Electronic total energy**: -49.9 eV for the cell shown

a = 4.0914 Å, b = 9.6208 Å, c = 6.5635 Å
α = 90.00°, β = 108.06°, γ = 90.00°
Closest atoms and distances in Å follow each position.
Positions (direct):
La  0.1438  0.0731  0.2881  2 Tc 2.99-3.01
La  0.1438  0.4269  0.2881  2 Tc 2.99-3.01
La  0.8562  0.5731  0.7119  2 Tc 2.99-3.01
La  0.8562  0.9269  0.7119  2 Tc 2.99-3.01
Pr  0.4215  0.2500  0.8409  2 Tc 2.91
Pr  0.5785  0.7500  0.1591  2 Tc 2.91
Tc  0.2433  0.7500  0.4901  2 Pr 2.91, 4 La 2.99-3.01
Tc  0.7567  0.2500  0.5099  2 Pr 2.91, 4 La 2.99-3.01



An optimized crystal structure of La2PrTc, computed with PBE.

**Size of the total moment**: 0.00 μB per atom
**Space group**: No. 62
**Electronic total energy**: -100.1 eV for the cell shown

a = 7.4473 Å, b = 9.9134 Å, c = 6.6873 Å
α = 90.00°, β = 90.00°, γ = 90.00°
Closest atoms and distances in Å follow each position.
Positions (direct):
La  0.1740  0.0700  0.1644  1 Tc 2.68
La  0.1740  0.4300  0.1644  1 Tc 2.68
La  0.3260  0.5700  0.6644  1 Tc 2.68
La  0.3260  0.9300  0.6644  1 Tc 2.68
La  0.6740  0.0700  0.3356  1 Tc 2.68
La  0.6740  0.4300  0.3356  1 Tc 2.68
La  0.8260  0.5700  0.8356  1 Tc 2.68
La  0.8260  0.9300  0.8356  1 Tc 2.68
Pr  0.0604  0.2500  0.6393  2 Tc 2.98-3.00
Pr  0.4396  0.7500  0.1393  2 Tc 2.98-3.00
Pr  0.5604  0.2500  0.8607  2 Tc 2.98-3.00
Pr  0.9396  0.7500  0.3607  2 Tc 2.98-3.00
Tc  0.0772  0.7500  0.9422  2 La 2.68, 1 Pr 2.98
Tc  0.4228  0.2500  0.4422  2 La 2.68, 1 Pr 2.98
Tc  0.5772  0.7500  0.5578  2 La 2.68, 1 Pr 2.98
Tc  0.9228  0.2500  0.0578  2 La 2.68, 1 Pr 2.98



- Which of these has the highest electronic total energy?
  LaPrTc



- size of the total moment of number 4 (La2PrTc)?
  0.00 μB per atom



- What is the size of the total moment in the fourth record?
  0.00 μB per atom